1.
A geometry-optimized NaTe4MoAu3 structure. Source: OQMD, functional PBE-GGA.

**Total magnetic moment**: 2.0 μB per formula unit
**Total energy**: -3.915 eV/atom
**Space group**: No. 215

a b c (Å): 6.5813 6.5813 6.5813
angles (deg): 90.00 90.00 90.00
Each line ends with the local moment (μB).
Atoms (fractional coordinates):
Te (0.7339, 0.7339, 0.2661)  -0.01
Te (0.2661, 0.2661, 0.2661)  0.01
Mo (0.5000, 0.5000, 0.5000)  1.58
Au (0.0000, 0.5000, 0.5000)  0.01
Te (0.7339, 0.2661, 0.7339)  -0.01
Na (0.0000, 0.0000, 0.0000)  0.00
Au (0.5000, 0.0000, 0.5000)  0.04
Te (0.2661, 0.7339, 0.7339)  0.00
Au (0.5000, 0.5000, 0.0000)  0.07


2.
A geometry-optimized KCu3PdSe4 structure. Source: OQMD, functional PBE-GGA.

**Total energy**: -3.615 eV/atom
**Space group**: No. 215

a b c (Å): 6.1018 6.1018 6.1018
angles (deg): 90.00 90.00 90.00
Atoms (fractional coordinates):
Cu (0.0000, 0.5000, 0.5000)
Se (0.2735, 0.7265, 0.7265)
Pd (0.5000, 0.5000, 0.5000)
Cu (0.5000, 0.5000, 0.0000)
Se (0.7265, 0.2735, 0.7265)
Se (0.2735, 0.2735, 0.2735)
K (0.0000, 0.0000, 0.0000)
Se (0.7265, 0.7265, 0.2735)
Cu (0.5000, 0.0000, 0.5000)


3.
A geometry-optimized PaNi12B6 structure. Source: OQMD, functional PBE-GGA.

**Total magnetic moment**: 0.0 μB per formula unit
**Total energy**: -6.482 eV/atom
**Space group**: No. 166

a b c (Å): 6.0109 6.0109 6.0109
angles (deg): 104.52 104.52 104.52
Atoms (fractional coordinates):
Ni (0.4501, 0.1853, 0.4501)
Ni (0.1301, 0.5000, 0.8699)
Ni (0.5000, 0.1301, 0.8699)
Ni (0.5499, 0.5499, 0.8147)
Ni (0.8699, 0.5000, 0.1301)
Ni (0.5000, 0.8699, 0.1301)
B (0.7658, 0.7658, 0.3262)
B (0.3262, 0.7658, 0.7658)
Ni (0.1853, 0.4501, 0.4501)
B (0.2342, 0.2342, 0.6738)
B (0.6738, 0.2342, 0.2342)
B (0.7658, 0.3262, 0.7658)
Ni (0.4501, 0.4501, 0.1853)
B (0.2342, 0.6738, 0.2342)
Ni (0.8147, 0.5499, 0.5499)
Ni (0.1301, 0.8699, 0.5000)
Ni (0.5499, 0.8147, 0.5499)
Ni (0.8699, 0.1301, 0.5000)
Pa (0.0000, 0.0000, 0.0000)


4.
A geometry-optimized LuSe structure. Source: OQMD, functional PBE-GGA.

**Total magnetic moment**: 0.0 μB per formula unit
**Total energy**: -5.230 eV/atom
**Space group**: No. 216

a b c (Å): 4.4106 4.4106 4.4106
angles (deg): 60.00 60.00 60.00
Atoms (fractional coordinates):
Lu (0.0000, 0.0000, 0.0000)
Se (0.2500, 0.2500, 0.2500)